DFT (SCAN) results for a PBEsol-optimized structure of HfSnPd3.

Lattice parameters (Å, degrees): 4.831 4.831 4.831 90.00 90.00 90.00
Fractional coordinates of all 5 atoms:
Hf (0.000, 0.000, 0.000)
Sn (0.500, 0.500, 0.500)
Pd (0.000, 0.000, 0.500)
Pd (0.000, 0.500, 0.000)
Pd (0.500, 0.000, 0.000)

Computed properties:
E_form = 2.3 eV/f.u.
V = 112.76 Å³/cell
E = -38.922 eV/atom

=====

DFT (SCAN) results for a PBEsol-optimized structure of SrHfTe2Pd.

Lattice parameters (Å, degrees): 5.493 5.493 4.951 90.00 90.00 90.00
Fractional coordinates of all 5 atoms:
Sr (0.000, 0.000, 0.000)
Hf (0.500, 0.500, 0.500)
Te (0.000, 0.500, 0.500)
Te (0.500, 0.000, 0.500)
Pd (0.500, 0.500, 0.000)

Computed properties:
V = 149.40 Å³/cell
E = -39.141 eV/atom

=====

DFT (SCAN) results for a PBEsol-optimized structure of HfTaPd3.

Lattice parameters (Å, degrees): 4.702 4.702 4.702 90.00 90.00 90.00
Fractional coordinates of all 5 atoms:
Hf (0.000, 0.000, 0.000)
Ta (0.500, 0.500, 0.500)
Pd (0.000, 0.500, 0.500)
Pd (0.500, 0.000, 0.500)
Pd (0.500, 0.500, 0.000)

Computed properties:
E_form = 4.0 eV/f.u.
V = 103.94 Å³/cell
E = -44.715 eV/atom

=====

DFT (SCAN) results for a PBEsol-optimized structure of Hf2TcPd.

Lattice parameters (Å, degrees): 4.586 4.586 4.586 60.00 60.00 60.00
Fractional coordinates of all 4 atoms:
Hf (0.250, 0.250, 0.250)
Hf (0.750, 0.750, 0.750)
Tc (0.000, 0.000, 0.000)
Pd (0.500, 0.500, 0.500)

Computed properties:
E_form = -2.9 eV/f.u.
V = 68.18 Å³/cell
E = -49.012 eV/atom

=====

- Which of these has the lowest V?
  Hf2TcPd

=====

Please write out number 2 again, unchanged.
DFT (SCAN) results for a PBEsol-optimized structure of SrHfTe2Pd.

Lattice parameters (Å, degrees): 5.493 5.493 4.951 90.00 90.00 90.00
Fractional coordinates of all 5 atoms:
Sr (0.000, 0.000, 0.000)
Hf (0.500, 0.500, 0.500)
Te (0.000, 0.500, 0.500)
Te (0.500, 0.000, 0.500)
Pd (0.500, 0.500, 0.000)

Computed properties:
V = 149.40 Å³/cell
E = -39.141 eV/atom

=====

Copy entry 2 word for word.
DFT (SCAN) results for a PBEsol-optimized structure of SrHfTe2Pd.

Lattice parameters (Å, degrees): 5.493 5.493 4.951 90.00 90.00 90.00
Fractional coordinates of all 5 atoms:
Sr (0.000, 0.000, 0.000)
Hf (0.500, 0.500, 0.500)
Te (0.000, 0.500, 0.500)
Te (0.500, 0.000, 0.500)
Pd (0.500, 0.500, 0.000)

Computed properties:
V = 149.40 Å³/cell
E = -39.141 eV/atom